Here is a geometry-optimized Dy3TmAs4 structure from the Alexandria database. Energies are from GGA-PBE.

a = 5.8019 Å, b = 5.8019 Å, c = 5.8019 Å
α = 90.00°, β = 90.00°, γ = 90.00°
Closest atoms and distances in Å follow each position.
Space group Pm-3m (No. 221)
Inequivalent atoms, fractional coordinates:
Dy 0.0000 0.0000 0.5000 [3 per cell]  6 As 2.90
Tm 0.5000 0.5000 0.5000 [1 per cell]  6 As 2.90
As 0.0000 0.0000 0.0000 [1 per cell]  6 Dy 2.90
As 0.0000 0.5000 0.5000 [3 per cell]  4 Dy 2.90, 2 Tm 2.90

Properties
Crystal system: cubic
Spin magnetization in μB per cell: 0.0
Energy of formation in eV per atom: -1.53